Entry from Alexandria: a geometry-optimized K2VOF4 structure (GGA+U).

Lattice parameters (Å, degrees): 5.7801 7.5559 11.6879 90.00 90.00 90.00
Element x y z (fractional)
K 0.0048 0.2389 0.2736
K 0.0060 0.4137 0.9125
K 0.4940 0.5863 0.4125
K 0.4952 0.7611 0.7736
K 0.5048 0.2611 0.7264
K 0.5060 0.0863 0.0875
K 0.9940 0.9137 0.5875
K 0.9952 0.7389 0.2264
V 0.0156 0.9308 0.9350
V 0.4844 0.0692 0.4350
V 0.5156 0.5692 0.0650
V 0.9844 0.4308 0.5650
O 0.2367 0.0512 0.8891
O 0.2633 0.9488 0.3891
O 0.7367 0.4488 0.1109
O 0.7633 0.5512 0.6109
F 0.0126 0.5232 0.4080
F 0.0363 0.2813 0.6963
F 0.1974 0.7308 0.0011
F 0.2367 0.5835 0.6106
F 0.2633 0.4165 0.1106
F 0.3026 0.2692 0.5011
F 0.4637 0.7187 0.1963
F 0.4874 0.4768 0.9080
F 0.5126 0.9768 0.5920
F 0.5363 0.2187 0.3037
F 0.6974 0.7692 0.9989
F 0.7367 0.9165 0.3894
F 0.7633 0.0835 0.8894
F 0.8026 0.2308 0.4989
F 0.9637 0.7813 0.8037
F 0.9874 0.0232 0.0920

density of states at the Fermi level	0.0	states/eV/f.u.
uncorrected energy	-5.48	eV/atom
M_tot	1.000	μB/f.u.
crystal system	orthorhombic